[1]
4
Lattice="-2.077 3.181 6.444 2.077 -3.181 6.444 2.077 3.181 -6.444" Properties=species:S:1:pos:R:3 comment="GGA-PBE Ba2CaMn, relaxed" space_group="Imm2, No. 44" final_energy_ha_per_atom=-0.1248 polymorph_energy_ev_per_atom=0.0389 pbc="T T T"
Ba 0.000 0.000 0.000
Ba 0.000 3.181 2.551
Ca 0.000 0.000 5.143
Mn 2.077 0.000 2.741

=====

[2]
12
Lattice="2.968 1.714 9.994 -2.968 1.714 9.994 0.000 -3.427 9.994" Properties=species:S:1:pos:R:3 comment="GGA-PBE K3Na2Ag7, relaxed" space_group="R-3m, No. 166" final_energy_ha_per_atom=-0.0793 pbc="T T T"
K 0.000 0.000 0.000
K 0.000 0.000 4.259
K 0.000 0.000 25.721
Na 0.000 0.000 9.964
Na 0.000 0.000 20.016
Ag -1.475 -0.851 12.541
Ag 0.000 -1.703 17.440
Ag -1.475 0.851 17.440
Ag 0.000 0.000 14.990
Ag 1.475 -0.851 12.541
Ag 0.000 1.703 12.541
Ag 1.475 0.851 17.440

=====

In eV/atom, the DFT formation energy values for the records above are, in order, 0.359; -0.001.